[1]
The following is a DFT calculation (GGA-PBE) of a relaxed Ca2Mg3Sn4 crystal.

a = 6.5014 Å, b = 17.1952 Å, c = 8.5852 Å
α = 90.00°, β = 90.00°, γ = 90.00°
Space group Cmce (No. 64)
Inequivalent atoms, fractional coordinates:
Ca (0.0000, 0.1077, 0.0912) [8 per cell]
Mg (0.0000, 0.0000, 0.5000) [4 per cell]
Mg (0.2500, 0.2242, 0.7500) [8 per cell]
Sn (0.0000, 0.1783, 0.4641) [8 per cell]
Sn (0.2500, 0.0549, 0.7500) [8 per cell]

Properties
Total magnetization, μB per cell: 0.00
V, Å³/cell: 960
DOS(E_F), states/eV per cell: 23.43
Calculated formation energy, eV per atom: -0.340

[2]
The following is a DFT calculation (GGA-PBE) of a relaxed Ca8Mg2Sn crystal.

a = 5.3983 Å, b = 8.6783 Å, c = 16.3867 Å
α = 90.00°, β = 90.00°, γ = 90.00°
Space group Immm (No. 71)
Inequivalent atoms, fractional coordinates:
Ca (0.0000, 0.0000, 0.1502) [4 per cell]
Ca (0.0000, 0.2268, 0.3440) [8 per cell]
Ca (0.0000, 0.2947, 0.0000) [4 per cell]
Mg (0.0000, 0.5000, 0.1876) [4 per cell]
Sn (0.0000, 0.5000, 0.5000) [2 per cell]

Properties
Total magnetization, μB per cell: 0.00
V, Å³/cell: 768
DOS(E_F), states/eV per cell: 15.53
Calculated formation energy, eV per atom: -0.136

[3]
The following is a DFT calculation (GGA-PBE) of a relaxed Ca3Mg7Sn4 crystal.

a = 17.5380 Å, b = 4.6307 Å, c = 10.9039 Å
α = 90.00°, β = 124.27°, γ = 90.00°
Space group C2/m (No. 12)
Inequivalent atoms, fractional coordinates:
Ca (0.0000, 0.0000, 0.0000) [2 per cell]
Ca (0.1946, 0.5000, 0.7015) [4 per cell]
Mg (0.0000, 0.0000, 0.5000) [2 per cell]
Mg (0.0116, 0.5000, 0.3109) [4 per cell]
Mg (0.1627, 0.0000, 0.4347) [4 per cell]
Mg (0.1818, 0.5000, 0.0206) [4 per cell]
Sn (0.1164, 0.0000, 0.8314) [4 per cell]
Sn (0.1562, 0.5000, 0.2602) [4 per cell]

Properties
Total magnetization, μB per cell: 0.00
V, Å³/cell: 732
DOS(E_F), states/eV per cell: 12.39
Calculated formation energy, eV per atom: -0.364

[4]
The following is a DFT calculation (GGA-PBE) of a relaxed Ca2Mg3Sn2 crystal.

a = 11.3318 Å, b = 4.6430 Å, c = 7.7285 Å
α = 90.00°, β = 110.82°, γ = 90.00°
Space group C2/m (No. 12)
Inequivalent atoms, fractional coordinates:
Ca (0.1432, 0.0000, 0.2774) [4 per cell]
Mg (0.0000, 0.5000, 0.5000) [2 per cell]
Mg (0.1147, 0.5000, 0.9347) [4 per cell]
Sn (0.1540, 0.0000, 0.7183) [4 per cell]

Properties
Total magnetization, μB per cell: 0.00
V, Å³/cell: 380
DOS(E_F), states/eV per cell: 6.32
Calculated formation energy, eV per atom: -0.367